This record from Alexandria via LeMat-Bulk describes a geometry-optimized Tb8MgPb6 structure. The functional is PBE-GGA.

Unit cell a=9.2674 b=9.2674 c=19.3243 alpha=90.00 beta=90.00 gamma=120.00
Space group R-3 (No. 148, hexagonal axes)
Unique sites:
Tb (0.0000, 0.0000, 0.1676)
Tb (0.0044, 0.2920, 0.5960)
Mg (0.0000, 0.0000, 0.5000)
Pb (0.0023, 0.3666, 0.4251)

## Properties
Calculated total energy ... -4.421 eV per atom

This record from Alexandria via LeMat-Bulk describes a geometry-optimized TbMgPb structure. The functional is PBE-GGA.

Unit cell a=3.586 b=3.586 c=12.682 alpha=90.00 beta=90.00 gamma=90.00
Space group I4mm (No. 107)
Unique sites:
Tb (0.000, 0.000, 0.000)
Mg (0.000, 0.000, 0.674)
Pb (0.000, 0.000, 0.322)

## Properties
Calculated total energy ... -3.512 eV per atom

This record from Alexandria via LeMat-Bulk describes a geometry-optimized TbMgPb structure. The functional is PBE-GGA.

Unit cell a=4.458 b=4.458 c=8.095 alpha=90.00 beta=90.00 gamma=90.00
Space group P4/nmm (No. 129, origin choice 2)
Unique sites:
Tb (0.250, 0.250, 0.149)
Mg (0.250, 0.750, 0.500)
Pb (0.250, 0.250, 0.757)

## Properties
Calculated total energy ... -3.662 eV per atom

This record from Alexandria via LeMat-Bulk describes a geometry-optimized TbMgPb6 structure. The functional is PBE-GGA.

Unit cell a=9.453 b=9.939 c=4.945 alpha=90.00 beta=90.00 gamma=90.00
Space group Cmmm (No. 65)
Unique sites:
Tb (0.000, 0.000, 0.000)
Mg (0.000, 0.500, 0.000)
Pb (0.000, 0.253, 0.500)
Pb (0.239, 0.500, 0.500)
Pb (0.250, 0.250, 0.000)

## Properties
Calculated total energy ... -3.691 eV per atom

This record from Alexandria via LeMat-Bulk describes a geometry-optimized Tb6Mg5Pb structure. The functional is PBE-GGA.

Unit cell a=5.384 b=7.553 c=8.544 alpha=90.00 beta=108.27 gamma=90.00
Space group P2/m (No. 10)
Unique sites:
Tb (0.000, 0.248, 0.000)
Tb (0.332, 0.245, 0.664)
Mg (0.165, 0.000, 0.330)
Mg (0.173, 0.500, 0.345)
Mg (0.500, 0.000, 0.000)
Pb (0.500, 0.500, 0.000)

## Properties
Calculated total energy ... -3.460 eV per atom

This record from Alexandria via LeMat-Bulk describes a geometry-optimized Tb2MgPb4 structure. The functional is PBE-GGA.

Unit cell a=19.586 b=3.634 c=6.384 alpha=90.00 beta=108.63 gamma=90.00
Space group C2/m (No. 12)
Unique sites:
Tb (0.244, 0.000, 0.245)
Mg (0.000, 0.000, 0.000)
Pb (0.109, 0.500, 0.324)
Pb (0.113, 0.000, 0.768)

## Properties
Calculated total energy ... -3.788 eV per atom

This record from Alexandria via LeMat-Bulk describes a geometry-optimized Tb2MgPb9 structure. The functional is PBE-GGA.

Unit cell a=4.781 b=4.781 c=15.289 alpha=90.00 beta=90.00 gamma=90.00
Space group P4/mmm (No. 123)
Unique sites:
Tb (0.000, 0.000, 0.159)
Mg (0.000, 0.000, 0.500)
Pb (0.000, 0.500, 0.000)
Pb (0.000, 0.500, 0.335)
Pb (0.500, 0.500, 0.170)
Pb (0.500, 0.500, 0.500)

## Properties
Calculated total energy ... -3.879 eV per atom

This record from Alexandria via LeMat-Bulk describes a geometry-optimized Tb4Mg5Pb6 structure. The functional is PBE-GGA.

Unit cell a=4.732 b=20.993 c=16.702 alpha=90.00 beta=90.00 gamma=90.00
Space group Cmc2_1 (No. 36)
Unique sites:
Tb (0.000, 0.018, 0.000)
Tb (0.000, 0.033, 0.268)
Tb (0.000, 0.161, 0.800)
Tb (0.000, 0.173, 0.441)
Mg (0.000, 0.155, 0.127)
Mg (0.000, 0.303, 0.118)
Mg (0.000, 0.342, 0.774)
Mg (0.000, 0.347, 0.486)
Mg (0.000, 0.438, 0.183)
Pb (0.000, 0.110, 0.614)
Pb (0.000, 0.229, 0.972)
Pb (0.000, 0.238, 0.271)
Pb (0.000, 0.427, 0.919)
Pb (0.000, 0.433, 0.630)
Pb (0.000, 0.438, 0.355)

## Properties
Calculated total energy ... -3.569 eV per atom

This record from Alexandria via LeMat-Bulk describes a geometry-optimized Tb4Mg4Pb7 structure. The functional is PBE-GGA.

Unit cell a=15.993 b=15.993 c=6.360 alpha=90.00 beta=90.00 gamma=90.00
Space group I4/mmm (No. 139)
Unique sites:
Tb (0.000, 0.190, 0.000)
Tb (0.135, 0.135, 0.500)
Mg (0.155, 0.345, 0.250)
Pb (0.000, 0.000, 0.250)
Pb (0.000, 0.274, 0.500)
Pb (0.000, 0.406, 0.000)
Pb (0.195, 0.195, 0.000)

## Properties
Calculated total energy ... -3.700 eV per atom

This record from Alexandria via LeMat-Bulk describes a geometry-optimized Tb2MgPb3 structure. The functional is PBE-GGA.

Unit cell a=4.463 b=15.554 c=4.726 alpha=90.00 beta=90.00 gamma=90.00
Space group Cmmm (No. 65)
Unique sites:
Tb (0.000, 0.154, 0.000)
Mg (0.000, 0.000, 0.500)
Pb (0.000, 0.331, 0.500)
Pb (0.000, 0.500, 0.000)

## Properties
Calculated total energy ... -4.067 eV per atom

This record from Alexandria via LeMat-Bulk describes a geometry-optimized Tb3Mg2Pb6 structure. The functional is PBE-GGA.

Unit cell a=4.764 b=4.764 c=29.313 alpha=90.00 beta=90.00 gamma=90.00
Space group I4/mmm (No. 139)
Unique sites:
Tb (0.000, 0.000, 0.000)
Tb (0.000, 0.000, 0.158)
Mg (0.000, 0.000, 0.360)
Pb (0.000, 0.000, 0.264)
Pb (0.000, 0.500, 0.076)

## Properties
Calculated total energy ... -3.774 eV per atom

This record from Alexandria via LeMat-Bulk describes a geometry-optimized Tb2MgPb structure. The functional is PBE-GGA.

Unit cell a=3.927 b=3.927 c=7.194 alpha=90.00 beta=90.00 gamma=90.00
Space group P4/mmm (No. 123)
Unique sites:
Tb (0.000, 0.000, 0.247)
Mg (0.500, 0.500, 0.000)
Pb (0.500, 0.500, 0.500)

## Properties
Calculated total energy ... -3.929 eV per atom

This record from Alexandria via LeMat-Bulk describes a geometry-optimized TbMg3Pb4 structure. The functional is PBE-GGA.

Unit cell a=3.980 b=5.127 c=10.470 alpha=90.00 beta=90.00 gamma=90.00
Space group Pmmm (No. 47)
Unique sites:
Tb (0.000, 0.000, 0.000)
Mg (0.000, 0.000, 0.500)
Mg (0.000, 0.500, 0.249)
Pb (0.500, 0.000, 0.261)
Pb (0.500, 0.500, 0.000)
Pb (0.500, 0.500, 0.500)

## Properties
Calculated total energy ... -3.203 eV per atom

This record from Alexandria via LeMat-Bulk describes a geometry-optimized TbMgPb structure. The functional is PBE-GGA.

Unit cell a=4.465 b=4.465 c=16.124 alpha=90.00 beta=90.00 gamma=90.00
Space group I4/mmm (No. 139)
Unique sites:
Tb (0.000, 0.000, 0.164)
Mg (0.000, 0.500, 0.000)
Pb (0.000, 0.000, 0.362)

## Properties
Calculated total energy ... -3.744 eV per atom

This record from Alexandria via LeMat-Bulk describes a geometry-optimized TbMgPb2 structure. The functional is PBE-GGA.

Unit cell a=4.891 b=4.891 c=4.481 alpha=90.00 beta=90.00 gamma=90.00
Space group P4/mmm (No. 123)
Unique sites:
Tb (0.000, 0.000, 0.000)
Mg (0.500, 0.500, 0.000)
Pb (0.000, 0.500, 0.500)

## Properties
Calculated total energy ... -3.746 eV per atom

This record from Alexandria via LeMat-Bulk describes a geometry-optimized Tb4Mg6Pb7 structure. The functional is PBE-GGA.

Unit cell a=9.719 b=9.719 c=9.719 alpha=90.00 beta=90.00 gamma=90.00
Space group Im-3m (No. 229)
Unique sites:
Tb (0.250, 0.250, 0.250)
Mg (0.000, 0.000, 0.299)
Pb (0.000, 0.000, 0.000)
Pb (0.000, 0.250, 0.500)

## Properties
Calculated total energy ... -3.372 eV per atom

This record from Alexandria via LeMat-Bulk describes a geometry-optimized Tb2MgPb8 structure. The functional is PBE-GGA.

Unit cell a=4.815 b=4.815 c=14.052 alpha=90.00 beta=90.00 gamma=90.00
Space group P4/mmm (No. 123)
Unique sites:
Tb (0.000, 0.000, 0.169)
Mg (0.000, 0.000, 0.500)
Pb (0.000, 0.500, 0.000)
Pb (0.000, 0.500, 0.359)
Pb (0.500, 0.500, 0.183)

## Properties
Calculated total energy ... -3.880 eV per atom

This record from Alexandria via LeMat-Bulk describes a geometry-optimized Tb5Mg4Pb structure. The functional is PBE-GGA.

Unit cell a=3.832 b=3.832 c=18.791 alpha=90.00 beta=90.00 gamma=90.00
Space group P4/mmm (No. 123)
Unique sites:
Tb (0.000, 0.000, 0.000)
Tb (0.000, 0.000, 0.199)
Tb (0.000, 0.000, 0.397)
Mg (0.500, 0.500, 0.100)
Mg (0.500, 0.500, 0.296)
Pb (0.500, 0.500, 0.500)

## Properties
Calculated total energy ... -3.492 eV per atom

This record from Alexandria via LeMat-Bulk describes a geometry-optimized Tb4MgPb5 structure. The functional is PBE-GGA.

Unit cell a=9.745 b=9.745 c=6.360 alpha=90.00 beta=90.00 gamma=90.00
Space group I4 (No. 79)
Unique sites:
Tb (0.089, 0.694, 0.000)
Mg (0.000, 0.000, 0.697)
Pb (0.000, 0.000, 0.178)
Pb (0.100, 0.724, 0.501)

## Properties
Calculated total energy ... -4.100 eV per atom

This record from Alexandria via LeMat-Bulk describes a geometry-optimized Tb3Mg2Pb3 structure. The functional is PBE-GGA.

Unit cell a=8.9590 b=8.9590 c=6.3924 alpha=90.00 beta=90.00 gamma=120.00
Space group P6_3/mcm (No. 193)
Unique sites:
Tb (0.0000, 0.2492, 0.2500)
Mg (0.3333, 0.6667, 0.0000)
Pb (0.0000, 0.3941, 0.7500)

## Properties
Calculated total energy ... -3.877 eV per atom

This record from Alexandria via LeMat-Bulk describes a geometry-optimized TbMgPb2 structure. The functional is PBE-GGA.

Unit cell a=4.6294 b=4.6294 c=19.6141 alpha=90.00 beta=90.00 gamma=120.00
Space group R3m (No. 160, hexagonal axes)
Unique sites:
Tb (0.0000, 0.0000, 0.0000)
Mg (0.0000, 0.0000, 0.1802)
Pb (0.0000, 0.0000, 0.4263)
Pb (0.0000, 0.0000, 0.5853)

## Properties
Calculated total energy ... -3.581 eV per atom

This record from Alexandria via LeMat-Bulk describes a geometry-optimized TbMgZnPb structure. The functional is PBE-GGA.

Unit cell a=7.268 b=7.268 c=7.268 alpha=90.00 beta=90.00 gamma=90.00
Space group F-43m (No. 216)
Unique sites:
Tb (0.000, 0.000, 0.000)
Mg (0.000, 0.000, 0.500)
Zn (0.250, 0.250, 0.750)
Pb (0.250, 0.250, 0.250)

## Properties
Calculated total energy ... -3.003 eV per atom